1.
Ac2PmHg5 | PBE | relaxed

Lattice parameters (Å, degrees): 5.497 5.497 8.615 108.60 108.60 90.00
Positions (direct):
Hg: 0.500 0.500 0.000
Hg: 0.613 0.113 0.226
Pm: 0.000 0.000 0.000
Hg: 0.887 0.387 0.774
Hg: 0.113 0.613 0.226
Ac: 0.267 0.267 0.535
Hg: 0.387 0.887 0.774
Ac: 0.733 0.733 0.465

Results
Formation enthalpy at 0 K   -0.4150 eV/atom
Spin magnetization   0.00 μB/f.u.

=====

2.
La2BPt4 | PBE | relaxed

Lattice parameters (Å, degrees): 5.799 6.315 8.329 90.00 109.04 90.00
Positions (direct):
Pt: 0.314 0.750 0.053
Pt: 0.686 0.250 0.947
La: 0.745 0.750 0.921
Pt: 0.156 0.250 0.425
La: 0.255 0.250 0.079
Pt: 0.287 0.467 0.732
B: 0.148 0.750 0.793
La: 0.258 0.750 0.414
Pt: 0.844 0.750 0.575
Pt: 0.713 0.533 0.268
La: 0.742 0.250 0.586
B: 0.852 0.250 0.207
Pt: 0.287 0.033 0.732
Pt: 0.713 0.967 0.268

Results
Formation enthalpy at 0 K   -0.9836 eV/atom
Spin magnetization   0.00 μB/f.u.

=====

3.
NaSrEu2 | PBE | relaxed

Lattice parameters (Å, degrees): 3.999 3.999 13.406 81.42 81.42 60.00
Positions (direct):
Eu: 0.253 0.253 0.242
Sr: 0.500 0.500 0.500
Na: 0.000 0.000 0.000
Eu: 0.747 0.747 0.758

Results
Formation enthalpy at 0 K   0.0712 eV/atom
Spin magnetization   15.05 μB/f.u.

=====

4.
BAs2SeN | PBE | relaxed

Lattice parameters (Å, degrees): 4.274 4.274 4.505 90.00 90.00 90.00
Positions (direct):
Se: 0.000 0.000 0.500
N: 0.000 0.000 0.000
B: 0.500 0.500 0.500
As: 0.000 0.500 0.000
As: 0.500 0.000 0.000

Results
Uncorrected formation energy   1.557 eV per atom
Spin magnetization   0.00 μB/f.u.

=====

5.
TlAg2Pb | PBE | relaxed

Lattice parameters (Å, degrees): 5.784 5.784 5.237 72.56 72.56 35.04
Positions (direct):
Ag: 0.022 0.022 0.026
Ag: 0.731 0.731 0.721
Tl: 0.264 0.264 0.200
Pb: 0.483 0.483 0.553

Results
Formation enthalpy at 0 K   0.1081 eV/atom
Spin magnetization   0.00 μB/f.u.

=====

6.
Y2MgOs | PBE | relaxed

Lattice parameters (Å, degrees): 4.047 4.047 8.761 82.38 82.38 50.31
Positions (direct):
Mg: 0.750 0.750 0.750
Y: 0.988 0.988 0.061
Os: 0.250 0.250 0.250
Y: 0.512 0.512 0.439

Results
Formation enthalpy at 0 K   0.0963 eV/atom
Spin magnetization   0.00 μB/f.u.

=====

7.
ReHg2P | PBE | relaxed

Lattice parameters (Å, degrees): 5.130 5.130 2.854 90.00 90.00 90.00
Positions (direct):
P: 0.500 0.500 0.500
Hg: 0.000 0.500 0.000
Re: 0.000 0.000 0.500
Hg: 0.500 0.000 0.000

Results
Formation enthalpy at 0 K   1.1040 eV/atom
Spin magnetization   0.89 μB/f.u.

=====

8.
YIrS3 | PBE | relaxed

Lattice parameters (Å, degrees): 5.155 5.155 5.155 90.00 90.00 90.00
Positions (direct):
S: 0.500 0.000 0.000
Ir: 0.500 0.500 0.500
S: 0.000 0.000 0.500
Y: 0.000 0.000 0.000
S: 0.000 0.500 0.000

Results
Uncorrected formation energy   0.704 eV per atom
Spin magnetization   3.84 μB/f.u.

=====

9.
DyHfRuPt | PBE | relaxed

Lattice parameters (Å, degrees): 4.755 4.755 4.755 60.00 60.00 60.00
Positions (direct):
Pt: 0.250 0.250 0.250
Dy: 0.500 0.500 0.500
Hf: 0.000 0.000 0.000
Ru: 0.750 0.750 0.750

Results
Formation enthalpy at 0 K   -0.7704 eV/atom
Spin magnetization   0.00 μB/f.u.

=====

10.
Cr2Au | PBE | relaxed

Lattice parameters (Å, degrees): 5.504 5.504 6.149 71.06 71.06 30.82
Positions (direct):
Au: 0.464 0.464 0.296
Cr: 0.157 0.157 0.951
Cr: 0.194 0.194 0.314
Cr: 0.843 0.843 0.049
Cr: 0.806 0.806 0.686
Au: 0.536 0.536 0.704

Results
Formation enthalpy at 0 K   0.2802 eV/atom
Spin magnetization   0.33 μB/f.u.

=====

11.
MgSc4Tl | PBE | relaxed

Lattice parameters (Å, degrees): 4.845 4.854 8.595 73.66 73.63 60.06
Positions (direct):
Sc: 0.624 0.624 0.129
Sc: 0.876 0.876 0.372
Mg: 0.500 0.500 0.500
Tl: 0.000 0.000 0.000
Sc: 0.124 0.124 0.628
Sc: 0.376 0.376 0.871

Results
Formation enthalpy at 0 K   0.2771 eV/atom
Spin magnetization   0.90 μB/f.u.

=====

12.
Cu2AuS | PBE | relaxed

Lattice parameters (Å, degrees): 3.354 3.354 6.724 75.56 75.56 60.00
Positions (direct):
Au: 0.500 0.500 0.500
Cu: 0.261 0.261 0.217
S: 0.000 0.000 0.000
Cu: 0.739 0.739 0.783

Results
Uncorrected formation energy   0.085 eV per atom
Spin magnetization   0.00 μB/f.u.